Computed, not measured: an optimized crystal structure of Cs4Pu3NpSe8 at the PBE level of DFT.

Structure (POSCAR):
```
Cs4Pu3NpSe8
1.0
8.665 0.000 0.000
0.000 13.006 0.727
-4.333 -6.022 4.476
Cs Pu Np Se
4 3 1 8
Cartesian
4.333 0.000 0.000
2.166 -3.011 2.238
0.000 0.000 0.000
-2.166 -3.011 2.238
4.333 6.503 0.363
2.166 3.492 2.601
-2.166 3.492 2.601
0.000 6.503 0.363
2.143 6.426 2.334
0.000 3.405 4.581
0.000 3.601 0.607
6.522 6.426 2.334
-2.189 0.558 2.868
4.333 3.383 4.595
4.333 3.579 0.621
2.189 0.558 2.868
```

Output
As for the uncorrected formation energy: -1.3958 eV per atom. The value obtained for the mass density is 6.529 g/cm3.

=====

Computed, not measured: an optimized crystal structure of Cs3Pu2NpSe6 at the PBE level of DFT.

Structure (POSCAR):
```
Cs3Pu2NpSe6
1.0
-0.215 -1.651 7.312
0.790 -5.479 -5.059
8.108 3.179 -0.325
Cs Pu Np Se
3 2 1 6
Cartesian
4.675 -3.247 -3.147
4.007 -0.703 5.075
4.341 -1.975 0.964
0.455 -4.203 -0.934
0.120 -2.927 3.187
0.000 0.000 0.000
6.894 -2.294 3.516
1.917 -4.634 1.590
1.788 -1.656 -1.588
7.225 -3.555 -0.558
6.766 0.684 0.338
1.457 -0.396 2.486
```

Output
As for the uncorrected formation energy: -1.3793 eV per atom. The value obtained for the mass density is 6.524 g/cm3.

=====

Computed, not measured: an optimized crystal structure of Cs3Rb2NpS6 at the PBE level of DFT.

Structure (POSCAR):
```
Cs3Rb2NpS6
1.0
-3.315 2.769 6.757
6.794 -4.242 0.398
2.921 6.964 -3.035
Cs Rb Np S
3 2 1 6
Cartesian
6.503 0.455 -0.017
-0.102 5.036 4.137
3.200 2.746 2.060
3.410 -1.894 2.527
0.070 0.422 4.628
0.000 0.000 0.000
3.872 5.356 4.144
3.383 0.146 5.218
2.528 0.136 -0.024
6.482 3.546 2.502
3.017 5.346 -1.098
-0.081 1.946 1.618
```

Output
As for the uncorrected formation energy: -1.1226 eV per atom. The value obtained for the mass density is 3.856 g/cm3.

=====

Computed, not measured: an optimized crystal structure of Cs2Rb3NpS6 at the PBE level of DFT.

Structure (POSCAR):
```
Cs2Rb3NpS6
1.0
8.259 0.019 -0.032
-4.111 7.163 -0.032
-1.411 -2.443 7.309
Cs Rb Np S
2 3 1 6
Cartesian
0.006 4.785 -0.032
4.142 2.397 -0.032
-2.808 4.781 3.623
5.545 -0.042 3.623
1.368 2.369 3.623
0.000 0.000 0.000
3.779 2.961 5.762
3.113 5.391 1.361
-1.042 1.778 1.484
0.676 4.753 5.762
-0.377 -0.652 5.885
2.061 -0.014 1.484
```

Output
As for the uncorrected formation energy: -1.1096 eV per atom. The value obtained for the mass density is 3.661 g/cm3.

=====

Computed, not measured: an optimized crystal structure of Cs2Rb3NpSe6 at the PBE level of DFT.

Structure (POSCAR):
```
Cs2Rb3NpSe6
1.0
8.572 0.043 -0.034
-4.247 7.446 -0.034
-1.473 -2.551 7.598
Cs Rb Np Se
2 3 1 6
Cartesian
0.034 4.974 -0.034
4.291 2.515 -0.034
-2.828 4.926 3.765
5.680 0.012 3.765
1.426 2.469 3.765
0.000 0.000 0.000
3.961 3.034 5.956
3.230 5.592 1.472
-1.109 1.904 1.575
0.648 4.947 5.956
-0.378 -0.654 6.058
2.204 -0.009 1.575
```

Output
As for the uncorrected formation energy: -1.0418 eV per atom. The value obtained for the mass density is 4.222 g/cm3.

=====

Computed, not measured: an optimized crystal structure of Cs2RbNp3Se8 at the PBE level of DFT.

Structure (POSCAR):
```
Cs2RbNp3Se8
1.0
8.551 0.000 0.000
4.276 7.406 0.000
4.276 2.469 8.565
Cs Rb Np Se
2 1 3 8
Cartesian
4.276 2.469 5.034
8.551 4.937 4.306
12.827 7.406 3.462
8.551 7.400 0.021
10.684 3.706 0.021
6.419 3.706 0.021
4.276 2.469 1.505
12.827 7.406 7.046
6.624 3.824 7.133
10.479 3.824 7.133
8.551 7.163 7.133
8.551 2.697 1.494
6.611 6.057 1.494
10.491 6.057 1.494
```

Output
As for the uncorrected formation energy: -1.1119 eV per atom. The value obtained for the mass density is 5.186 g/cm3.

=====

Computed, not measured: an optimized crystal structure of CsRbNpSe3 at the PBE level of DFT.

Structure (POSCAR):
```
CsRbNpSe3
1.0
7.612 0.044 0.000
1.669 8.009 0.000
0.834 4.005 8.231
Cs Rb Np Se
2 2 2 6
Cartesian
2.737 4.016 4.240
7.378 8.042 3.991
3.572 8.020 6.855
6.543 4.038 1.376
6.543 4.038 7.381
3.572 8.020 0.850
5.988 10.347 7.505
8.768 5.738 7.505
6.543 4.038 4.710
4.127 1.711 0.726
1.348 6.320 0.726
3.572 8.020 3.521
```

Output
As for the uncorrected formation energy: -1.1538 eV per atom. The value obtained for the mass density is 4.587 g/cm3.

=====

Computed, not measured: an optimized crystal structure of CsRb2Np3Se8 at the PBE level of DFT.

Structure (POSCAR):
```
CsRb2Np3Se8
1.0
8.569 0.000 0.000
4.284 7.421 0.000
4.284 2.474 8.391
Cs Rb Np Se
1 2 3 8
Cartesian
12.853 7.421 3.479
4.284 2.474 5.012
8.569 4.947 4.204
4.284 0.007 0.006
2.148 3.707 0.006
6.421 3.707 0.006
4.284 2.474 1.525
12.853 7.421 6.937
6.644 3.836 6.912
10.494 3.836 6.912
8.569 7.170 6.912
8.569 2.748 1.474
6.664 6.047 1.474
10.474 6.047 1.474
```

Output
As for the uncorrected formation energy: -1.1094 eV per atom. The value obtained for the mass density is 5.124 g/cm3.